# 1
DFT (PBE-GGA) results for an optimized crystal structure of Ce2YErSe6.

Lattice parameters (Å, degrees): 7.3597 7.3597 19.4881 90.00 90.00 120.00
Space group R3 (No. 146, hexagonal axes)
Asymmetric unit:
Ce1 0.0000 0.0000 0.0000 x3
Ce2 0.0000 0.0000 0.4996 x3
Y1 0.0000 0.0000 0.2990 x3
Er1 0.0000 0.0000 0.7995 x3
Se1 0.0211 0.3091 0.8945 x9
Se2 0.0205 0.6432 0.0618 x9

Computed properties:
* raw total energy: -0.2271 hartree per atom
* ΔE_f (raw): -1.80 eV per atom


# 2
DFT (PBE-GGA) results for an optimized crystal structure of CeYEr2Se4.

Lattice parameters (Å, degrees): 7.082 4.054 7.135 90.00 108.97 90.00
Space group P2/m (No. 10)
Asymmetric unit:
Ce1 0.000 0.000 0.000 x1
Y1 0.500 0.500 0.000 x1
Er1 0.000 0.500 0.500 x1
Er2 0.500 0.000 0.500 x1
Se1 0.251 0.000 0.742 x2
Se2 0.258 0.500 0.262 x2

Computed properties:
* raw total energy: -0.2272 hartree per atom
* ΔE_f (raw): -1.75 eV per atom


# 3
DFT (PBE-GGA) results for an optimized crystal structure of CeYErSe3.

Lattice parameters (Å, degrees): 7.951 4.050 10.256 90.00 102.88 90.00
Space group P2_1/m (No. 11)
Asymmetric unit:
Ce1 0.182 0.250 0.207 x2
Y1 0.174 0.250 0.621 x2
Er1 0.334 0.750 0.909 x2
Se1 0.091 0.250 0.890 x2
Se2 0.204 0.750 0.435 x2
Se3 0.474 0.750 0.190 x2

Computed properties:
* raw total energy: -0.2271 hartree per atom
* ΔE_f (raw): -1.61 eV per atom


# 4
DFT (PBE-GGA) results for an optimized crystal structure of CeY2Er3Se6.

Lattice parameters (Å, degrees): 17.815 4.059 8.218 90.00 103.61 90.00
Space group C2/m (No. 12)
Asymmetric unit:
Ce1 0.000 0.000 0.000 x2
Y1 0.164 0.500 0.328 x4
Er1 0.000 0.000 0.500 x2
Er2 0.164 0.500 0.834 x4
Se1 0.001 0.500 0.740 x4
Se2 0.167 0.000 0.586 x4
Se3 0.172 0.000 0.082 x4

Computed properties:
* raw total energy: -0.2278 hartree per atom
* ΔE_f (raw): -1.74 eV per atom


Look up the ΔE_f (raw) of the first one. -1.80 eV per atom


Look up the ΔE_f (raw) of the first one. -1.80 eV per atom


Copy entry 2 word for word.
DFT (PBE-GGA) results for an optimized crystal structure of CeYEr2Se4.

Lattice parameters (Å, degrees): 7.082 4.054 7.135 90.00 108.97 90.00
Space group P2/m (No. 10)
Asymmetric unit:
Ce1 0.000 0.000 0.000 x1
Y1 0.500 0.500 0.000 x1
Er1 0.000 0.500 0.500 x1
Er2 0.500 0.000 0.500 x1
Se1 0.251 0.000 0.742 x2
Se2 0.258 0.500 0.262 x2

Computed properties:
* raw total energy: -0.2272 hartree per atom
* ΔE_f (raw): -1.75 eV per atom